(1)
BeAl2Br | PBE-GGA | optimized geometry

```
data_BeAl2Br
_chemical_formula_sum 'Be1 Al2 Br1'
_space_group_name_H-M_alt 'P 1'
_space_group_IT_number 1
_cell_length_a 3.1929
_cell_length_b 3.1929
_cell_length_c 9.9404
_cell_angle_alpha 90.00
_cell_angle_beta 90.00
_cell_angle_gamma 121.48
loop_
_space_group_symop_operation_xyz
'x,y,z'
loop_
_atom_site_label
_atom_site_type_symbol
_atom_site_fract_x
_atom_site_fract_y
_atom_site_fract_z
Br1 Br 0.5000 0.5000 0.6504
Be1 Be 0.0000 0.0000 0.4985
Al1 Al 0.0000 0.0000 0.0561
Al2 Al 0.5000 0.5000 0.2949
```

## Properties
- Formation energy (no corrections): 0.260 eV per atom
- Polymorph energy (0 for the lowest one): 102 meV per atom



(2)
BeAlBr | PBE-GGA | optimized geometry

```
data_BeAlBr
_chemical_formula_sum 'Be2 Al2 Br2'
_space_group_name_H-M_alt 'P 1'
_space_group_IT_number 1
_cell_length_a 4.8474
_cell_length_b 4.0272
_cell_length_c 7.9950
_cell_angle_alpha 90.00
_cell_angle_beta 95.99
_cell_angle_gamma 90.00
loop_
_space_group_symop_operation_xyz
'x,y,z'
loop_
_atom_site_label
_atom_site_type_symbol
_atom_site_fract_x
_atom_site_fract_y
_atom_site_fract_z
Be1 Be 0.2631 0.0000 0.0435
Br1 Br 0.0961 0.0000 0.2951
Br2 Br 0.6605 0.5000 0.6794
Al1 Al 0.5221 0.5000 0.9963
Be2 Be 0.7958 0.0000 0.0648
Al2 Al 0.0035 0.5000 0.9257
```

## Properties
- Formation energy (no corrections): -0.161 eV per atom
- Polymorph energy (0 for the lowest one): 7 meV per atom



(3)
Be2AlBr | PBE-GGA | optimized geometry

```
data_Be2AlBr
_chemical_formula_sum 'Be2 Al1 Br1'
_space_group_name_H-M_alt 'P 1'
_space_group_IT_number 1
_cell_length_a 4.5691
_cell_length_b 4.5691
_cell_length_c 4.5691
_cell_angle_alpha 60.00
_cell_angle_beta 60.00
_cell_angle_gamma 60.00
loop_
_space_group_symop_operation_xyz
'x,y,z'
loop_
_atom_site_label
_atom_site_type_symbol
_atom_site_fract_x
_atom_site_fract_y
_atom_site_fract_z
Be1 Be 0.0000 0.0000 0.0000
Br1 Br 0.2500 0.2500 0.2500
Be2 Be 0.7500 0.7500 0.7500
Al1 Al 0.5000 0.5000 0.5000
```

## Properties
- Formation energy (no corrections): 1.103 eV per atom
- Polymorph energy (0 for the lowest one): 1024 meV per atom



(4)
BeAl2Br | PBE-GGA | optimized geometry

```
data_BeAl2Br
_chemical_formula_sum 'Be1 Al2 Br1'
_space_group_name_H-M_alt 'P 1'
_space_group_IT_number 1
_cell_length_a 3.1019
_cell_length_b 3.1016
_cell_length_c 7.2265
_cell_angle_alpha 90.00
_cell_angle_beta 90.00
_cell_angle_gamma 90.00
loop_
_space_group_symop_operation_xyz
'x,y,z'
loop_
_atom_site_label
_atom_site_type_symbol
_atom_site_fract_x
_atom_site_fract_y
_atom_site_fract_z
Al1 Al 0.0000 0.0000 0.4492
Br1 Br 0.5000 0.5000 0.7500
Be1 Be 0.5000 0.5000 0.2500
Al2 Al 0.0000 0.0000 0.0508
```

## Properties
- Formation energy (no corrections): 0.294 eV per atom
- Polymorph energy (0 for the lowest one): 136 meV per atom



(5)
BeAlBr2 | PBE-GGA | optimized geometry

```
data_BeAlBr2
_chemical_formula_sum 'Be1 Al1 Br2'
_space_group_name_H-M_alt 'P 1'
_space_group_IT_number 1
_cell_length_a 5.0829
_cell_length_b 5.0829
_cell_length_c 5.0829
_cell_angle_alpha 60.00
_cell_angle_beta 60.00
_cell_angle_gamma 60.00
loop_
_space_group_symop_operation_xyz
'x,y,z'
loop_
_atom_site_label
_atom_site_type_symbol
_atom_site_fract_x
_atom_site_fract_y
_atom_site_fract_z
Be1 Be 0.2500 0.2500 0.2500
Al1 Al 0.5000 0.5000 0.5000
Br1 Br 0.7500 0.7500 0.7500
Br2 Br 0.0000 0.0000 0.0000
```

## Properties
- Formation energy (no corrections): 0.694 eV per atom
- Polymorph energy (0 for the lowest one): 1026 meV per atom



(6)
BeAl2Br | PBE-GGA | optimized geometry

```
data_BeAl2Br
_chemical_formula_sum 'Be1 Al2 Br1'
_space_group_name_H-M_alt 'P 1'
_space_group_IT_number 1
_cell_length_a 5.6110
_cell_length_b 3.7496
_cell_length_c 3.7496
_cell_angle_alpha 90.00
_cell_angle_beta 90.00
_cell_angle_gamma 90.00
loop_
_space_group_symop_operation_xyz
'x,y,z'
loop_
_atom_site_label
_atom_site_type_symbol
_atom_site_fract_x
_atom_site_fract_y
_atom_site_fract_z
Be1 Be 0.5000 0.5000 0.0000
Br1 Br 0.5000 0.0000 0.5000
Al1 Al 0.0000 0.5000 0.5000
Al2 Al 0.0000 0.0000 0.0000
```

## Properties
- Formation energy (no corrections): 0.606 eV per atom
- Polymorph energy (0 for the lowest one): 448 meV per atom



(7)
BeAl2Br | PBE-GGA | optimized geometry

```
data_BeAl2Br
_chemical_formula_sum 'Be1 Al2 Br1'
_space_group_name_H-M_alt 'P 1'
_space_group_IT_number 1
_cell_length_a 3.4385
_cell_length_b 3.2381
_cell_length_c 7.0798
_cell_angle_alpha 90.00
_cell_angle_beta 90.00
_cell_angle_gamma 90.00
loop_
_space_group_symop_operation_xyz
'x,y,z'
loop_
_atom_site_label
_atom_site_type_symbol
_atom_site_fract_x
_atom_site_fract_y
_atom_site_fract_z
Be1 Be 0.0000 0.0000 0.4472
Br1 Br 0.5000 0.5000 0.6725
Al1 Al 0.5000 0.5000 0.2919
Al2 Al 0.0000 0.0000 0.0884
```

## Properties
- Formation energy (no corrections): 0.343 eV per atom
- Polymorph energy (0 for the lowest one): 185 meV per atom



(8)
BeAlBr3 | PBE-GGA | optimized geometry

```
data_BeAlBr3
_chemical_formula_sum 'Be1 Al1 Br3'
_space_group_name_H-M_alt 'P 1'
_space_group_IT_number 1
_cell_length_a 5.1270
_cell_length_b 5.1270
_cell_length_c 5.1270
_cell_angle_alpha 90.00
_cell_angle_beta 90.00
_cell_angle_gamma 90.00
loop_
_space_group_symop_operation_xyz
'x,y,z'
loop_
_atom_site_label
_atom_site_type_symbol
_atom_site_fract_x
_atom_site_fract_y
_atom_site_fract_z
Be1 Be 0.5000 0.5000 0.5000
Al1 Al 0.0000 0.0000 0.0000
Br1 Br 0.5000 0.0000 0.0000
Br2 Br 0.0000 0.0000 0.5000
Br3 Br 0.0000 0.5000 0.0000
```

## Properties
- Formation energy (no corrections): 0.059 eV per atom
- Polymorph energy (0 for the lowest one): 386 meV per atom



(9)
BeAlBr2 | PBE-GGA | optimized geometry

```
data_BeAlBr2
_chemical_formula_sum 'Be1 Al1 Br2'
_space_group_name_H-M_alt 'P 1'
_space_group_IT_number 1
_cell_length_a 3.2224
_cell_length_b 3.6622
_cell_length_c 10.5616
_cell_angle_alpha 67.66
_cell_angle_beta 90.00
_cell_angle_gamma 90.00
loop_
_space_group_symop_operation_xyz
'x,y,z'
loop_
_atom_site_label
_atom_site_type_symbol
_atom_site_fract_x
_atom_site_fract_y
_atom_site_fract_z
Br1 Br 0.0000 0.7196 0.9039
Be1 Be 0.5000 0.7500 0.7500
Al1 Al 0.5000 0.2500 0.2500
Br2 Br 0.0000 0.7804 0.5961
```

## Properties
- Formation energy (no corrections): -0.020 eV per atom
- Polymorph energy (0 for the lowest one): 312 meV per atom



(10)
Be2AlBr | PBE-GGA | optimized geometry

```
data_Be2AlBr
_chemical_formula_sum 'Be2 Al1 Br1'
_space_group_name_H-M_alt 'P 1'
_space_group_IT_number 1
_cell_length_a 6.3225
_cell_length_b 6.3225
_cell_length_c 6.3225
_cell_angle_alpha 148.28
_cell_angle_beta 148.28
_cell_angle_gamma 45.47
loop_
_space_group_symop_operation_xyz
'x,y,z'
loop_
_atom_site_label
_atom_site_type_symbol
_atom_site_fract_x
_atom_site_fract_y
_atom_site_fract_z
Be1 Be 0.2500 0.7500 0.5000
Br1 Br 0.5000 0.5000 0.0000
Al1 Al 0.7500 0.2500 0.5000
Be2 Be 0.0000 0.0000 0.0000
```

## Properties
- Formation energy (no corrections): 0.812 eV per atom
- Polymorph energy (0 for the lowest one): 733 meV per atom



(11)
Be2AlBr | PBE-GGA | optimized geometry

```
data_Be2AlBr
_chemical_formula_sum 'Be2 Al1 Br1'
_space_group_name_H-M_alt 'P 1'
_space_group_IT_number 1
_cell_length_a 4.9917
_cell_length_b 4.9917
_cell_length_c 4.9917
_cell_angle_alpha 143.84
_cell_angle_beta 113.49
_cell_angle_gamma 78.11
loop_
_space_group_symop_operation_xyz
'x,y,z'
loop_
_atom_site_label
_atom_site_type_symbol
_atom_site_fract_x
_atom_site_fract_y
_atom_site_fract_z
Be1 Be 0.5026 0.5026 0.0000
Al1 Al 0.2500 0.7500 0.5000
Be2 Be 0.9974 0.9974 0.0000
Br1 Br 0.7500 0.2500 0.5000
```

## Properties
- Formation energy (no corrections): 0.705 eV per atom
- Polymorph energy (0 for the lowest one): 626 meV per atom



(12)
BeAlBr3 | PBE-GGA | optimized geometry

```
data_BeAlBr3
_chemical_formula_sum 'Be1 Al1 Br3'
_space_group_name_H-M_alt 'P 1'
_space_group_IT_number 1
_cell_length_a 4.9119
_cell_length_b 4.9119
_cell_length_c 4.9119
_cell_angle_alpha 90.00
_cell_angle_beta 90.00
_cell_angle_gamma 90.00
loop_
_space_group_symop_operation_xyz
'x,y,z'
loop_
_atom_site_label
_atom_site_type_symbol
_atom_site_fract_x
_atom_site_fract_y
_atom_site_fract_z
Br1 Br 0.0000 0.0000 0.5000
Al1 Al 0.5000 0.5000 0.5000
Br2 Br 0.0000 0.5000 0.0000
Be1 Be 0.0000 0.0000 0.0000
Br3 Br 0.5000 0.0000 0.0000
```

## Properties
- Formation energy (no corrections): -0.327 eV per atom
- Polymorph energy (0 for the lowest one): 0 meV per atom



(13)
BeAlBr2 | PBE-GGA | optimized geometry

```
data_BeAlBr2
_chemical_formula_sum 'Be2 Al2 Br4'
_space_group_name_H-M_alt 'P 1'
_space_group_IT_number 1
_cell_length_a 6.8354
_cell_length_b 6.8354
_cell_length_c 6.7675
_cell_angle_alpha 59.67
_cell_angle_beta 59.67
_cell_angle_gamma 90.00
loop_
_space_group_symop_operation_xyz
'x,y,z'
loop_
_atom_site_label
_atom_site_type_symbol
_atom_site_fract_x
_atom_site_fract_y
_atom_site_fract_z
Be1 Be 0.5000 0.5000 0.0000
Br1 Br 0.3750 0.5074 0.7500
Al1 Al 0.0000 0.0000 0.0000
Br2 Br 0.4926 0.1250 0.2500
Br3 Br 0.2574 0.6250 0.2500
Al2 Al 0.7500 0.2500 0.5000
Be2 Be 0.2500 0.7500 0.5000
Br4 Br 0.8750 0.7426 0.7500
```

## Properties
- Formation energy (no corrections): 0.050 eV per atom
- Polymorph energy (0 for the lowest one): 382 meV per atom



(14)
Be2AlBr | PBE-GGA | optimized geometry

```
data_Be2AlBr
_chemical_formula_sum 'Be2 Al1 Br1'
_space_group_name_H-M_alt 'P 1'
_space_group_IT_number 1
_cell_length_a 4.0549
_cell_length_b 4.0549
_cell_length_c 6.4753
_cell_angle_alpha 58.52
_cell_angle_beta 58.52
_cell_angle_gamma 60.37
loop_
_space_group_symop_operation_xyz
'x,y,z'
loop_
_atom_site_label
_atom_site_type_symbol
_atom_site_fract_x
_atom_site_fract_y
_atom_site_fract_z
Be1 Be 0.8942 0.8942 0.2946
Br1 Br 0.7500 0.7500 0.7500
Be2 Be 0.6058 0.6058 0.2054
Al1 Al 0.2500 0.2500 0.2500
```

## Properties
- Formation energy (no corrections): 0.079 eV per atom
- Polymorph energy (0 for the lowest one): 0 meV per atom